[1]
Material: NaPr2Ga
Method: DFT, PBE
State: optimized geometry

Spin magnetization   0.00 μB per formula unit
E   -0.263 Ry per atom
Energy of formation from the pure elements   -0.10 eV per atom

a b c (Å): 3.7904 3.7904 32.4400
angles (deg): 90.00 90.00 120.00
Space group R-3m (No. 166, hexagonal axes)
Inequivalent atoms, fractional coordinates:
Na1 0.0000 0.0000 0.0000
Pr1 0.0000 0.0000 0.2324
Ga1 0.0000 0.0000 0.5000


[2]
Material: NaPr2Ga
Method: DFT, PBE
State: optimized geometry

Spin magnetization   0.00 μB per formula unit
E   -0.264 Ry per atom
Energy of formation from the pure elements   -0.12 eV per atom

a b c (Å): 5.313 5.313 4.042
angles (deg): 90.00 90.00 90.00
Space group P4/mmm (No. 123)
Inequivalent atoms, fractional coordinates:
Na1 0.000 0.000 0.000
Pr1 0.000 0.500 0.500
Ga1 0.500 0.500 0.000


What is the spin magnetization in the second record? 0.00 μB per formula unit


Number 2 is which compound? NaPr2Ga